The following is a PBE-GGA calculation of an optimized crystal structure of HfFeCuSi, from OQMD via LeMat-Bulk.

Properties
Crystal system   cubic
Energy relative to the lowest polymorph listed for this composition   0 meV per atom
E_tot   -7.100 eV/atom

Unit cell a=6.014 b=6.014 c=6.014 alpha=90.00 beta=90.00 gamma=90.00
Space group F-43m (No. 216)
One atom of each set of equivalent atoms:
Hf (0.000, 0.000, 0.000) [4 per cell]
Fe (0.250, 0.250, 0.250) [4 per cell]
Cu (0.250, 0.250, 0.750) [4 per cell]
Si (0.000, 0.000, 0.500) [4 per cell]